Entry from Alexandria via LeMat-Bulk: a relaxed structure of MgCrBO2 (GGA+U).

Results
space-group type	P4/mmm
electronic total energy	-26.4	eV per formula unit

Cell: 3.678 3.678 4.184 Å, 90.00 90.00 90.00°
Element x y z (fractional)
Mg1 0.000 0.000 0.000
Cr1 0.500 0.500 0.500
B1 0.500 0.500 0.000
O1 0.000 0.500 0.500
O2 0.500 0.000 0.500